Entry 1:
! PBE LiReNi2, relaxed; values from VASP
&SYSTEM
  ibrav = 0, nat = 4, ntyp = 3
/
ATOMIC_SPECIES
Re 186.21 Re.upf
Ni 58.69 Ni.upf
Li 6.94 Li.upf
ATOMIC_POSITIONS crystal
Re 0.750 0.250 0.500
Ni 0.489 0.489 0.000
Ni 0.011 0.011 0.000
Li 0.250 0.750 0.500
CELL_PARAMETERS angstrom
4.769 0.010 0.016
2.115 4.274 -0.016
-2.901 -3.011 2.293
! Size of the total moment   0.000 μB/atom
! Energy   -6.223 eV/atom
! V   11.639 A^3/atom



Entry 2:
! PBE CaYTl2, relaxed; values from VASP
&SYSTEM
  ibrav = 0, nat = 4, ntyp = 3
/
ATOMIC_SPECIES
Y 88.91 Y.upf
Tl 204.38 Tl.upf
Ca 40.08 Ca.upf
ATOMIC_POSITIONS crystal
Y 0.000 0.000 0.459
Tl 0.000 0.000 0.985
Tl 0.500 0.500 0.275
Ca 0.500 0.500 0.781
CELL_PARAMETERS angstrom
-2.194 -0.370 3.663
1.107 -4.133 0.246
5.477 1.672 3.449
! Size of the total moment   0.140 μB/atom
! Energy   -3.453 eV/atom
! V   30.693 A^3/atom